1) PuHgTe | PBE-GGA | optimized geometry

a b c (Å): 7.4227 7.4227 7.4227
angles (deg): 90.00 90.00 90.00
Space group F-43m (No. 216)
Symmetry-distinct sites (fractional):
Pu (0.0000, 0.0000, 0.0000)
Hg (0.0000, 0.0000, 0.5000)
Te (0.2500, 0.2500, 0.7500)

## Properties
total magnetization: 6.0 μB per formula unit


2) PuHgTe | PBE-GGA | optimized geometry

a b c (Å): 7.3760 7.3760 7.3760
angles (deg): 90.00 90.00 90.00
Space group F-43m (No. 216)
Symmetry-distinct sites (fractional):
Pu (0.0000, 0.0000, 0.0000)
Hg (0.2500, 0.2500, 0.7500)
Te (0.2500, 0.2500, 0.2500)

## Properties
total magnetization: 6.0 μB per formula unit


Name the most stable of them. 2).


1) PuHgW | PBE-GGA | optimized geometry

a b c (Å): 6.6954 6.6954 6.6954
angles (deg): 90.00 90.00 90.00
Space group F-43m (No. 216)
Symmetry-distinct sites (fractional):
Pu (0.0000, 0.0000, 0.0000)
Hg (0.2500, 0.2500, 0.7500)
W (0.2500, 0.2500, 0.2500)

## Properties
total magnetization: 0.0 μB per formula unit


2) PuHgW | PBE-GGA | optimized geometry

a b c (Å): 6.5891 6.5891 6.5891
angles (deg): 90.00 90.00 90.00
Space group F-43m (No. 216)
Symmetry-distinct sites (fractional):
Pu (0.0000, 0.0000, 0.0000)
Hg (0.0000, 0.0000, 0.5000)
W (0.2500, 0.2500, 0.7500)

## Properties
total magnetization: 4.2 μB per formula unit


Name the most stable of them. 2).


1) RbTbHg3S4 | PBE-GGA | optimized geometry

a b c (Å): 6.7737 6.7737 6.7737
angles (deg): 90.00 90.00 90.00
Space group P-43m (No. 215)
Symmetry-distinct sites (fractional):
Rb (0.0000, 0.0000, 0.0000)
Tb (0.5000, 0.5000, 0.5000)
Hg (0.0000, 0.5000, 0.5000)
S (0.2793, 0.2793, 0.2793)

## Properties
total magnetization: 0.0 μB per formula unit


2) RbTbHg3S4 | PBE-GGA | optimized geometry

a b c (Å): 6.2712 7.5612 12.2030
angles (deg): 90.00 100.72 90.00
Space group P2_1/m (No. 11)
Symmetry-distinct sites (fractional):
Rb (0.2355, 0.2500, 0.1245)
Tb (0.0436, 0.7500, 0.2926)
Hg (0.2165, 0.5195, 0.5489)
Hg (0.4656, 0.2500, 0.8196)
S (0.1564, 0.7500, 0.0980)
S (0.2270, 0.5187, 0.7673)
S (0.4401, 0.7500, 0.4462)

## Properties
total magnetization: 0.0 μB per formula unit


Name the most stable of them. 2).


1) RbHgSbSe3 | PBE-GGA | optimized geometry

a b c (Å): 4.3263 15.4540 11.1703
angles (deg): 90.00 90.00 90.00
Space group Cmcm (No. 63)
Symmetry-distinct sites (fractional):
Rb (0.0000, 0.2455, 0.2500)
Hg (0.0000, 0.0481, 0.7500)
Sb (0.0000, 0.5000, 0.0000)
Se (0.0000, 0.1257, 0.5395)
Se (0.0000, 0.4364, 0.7500)


2) RbHgSbSe3 | PBE-GGA | optimized geometry

a b c (Å): 7.8481 11.3912 8.9803
angles (deg): 90.00 106.57 90.00
Space group P2_1/c (No. 14)
Symmetry-distinct sites (fractional):
Rb (0.0121, 0.2421, 0.3794)
Hg (0.4081, 0.7492, 0.4770)
Sb (0.4460, 0.0010, 0.2358)
Se (0.2284, 0.5497, 0.9049)
Se (0.2304, 0.5481, 0.4582)
Se (0.3687, 0.2292, 0.2178)


Name the most stable of them. 2).